# GGA-PBE PmThBi2, relaxed
data_PmThBi2
_chemical_formula_sum 'Pm3 Th3 Bi6'
_symmetry_space_group_name_H-M 'R -3 m'
_symmetry_Int_Tables_number 166
_symmetry_space_group_name_Hall '-R 3 2"'
_cell_length_a 4.5947
_cell_length_b 4.5947
_cell_length_c 22.4075
_cell_angle_alpha 90.00
_cell_angle_beta 90.00
_cell_angle_gamma 120.00
loop_
_atom_site_label
_atom_site_type_symbol
_atom_site_fract_x
_atom_site_fract_y
_atom_site_fract_z
Pm1 Pm 0.0000 0.0000 0.0000
Th1 Th 0.0000 0.0000 0.5000
Bi1 Bi 0.0000 0.0000 0.2506
# Density   9.7 g/cm³
# Magnetic moment   0.00 μB/cell
# V   409.7 Å³/cell
# Calculated formation energy   -3.043 eV/f.u.
# E above lowest polymorph   4.1 meV/atom